A geometry-optimized Dy3Ho4Cd4 structure. Source: Alexandria, functional PBE-GGA.

Cell and atoms, written as CIF:
```
data_Dy3Ho4Cd4
_chemical_formula_sum 'Dy3 Ho4 Cd4'
_space_group_name_H-M_alt 'P 1'
_space_group_IT_number 1
_cell_length_a 5.300
_cell_length_b 6.967
_cell_length_c 9.569
_cell_angle_alpha 111.35
_cell_angle_beta 106.08
_cell_angle_gamma 90.00
loop_
_space_group_symop_operation_xyz
'x,y,z'
loop_
_atom_site_label
_atom_site_type_symbol
_atom_site_fract_x
_atom_site_fract_y
_atom_site_fract_z
Cd1 Cd 0.500 0.791 0.000
Cd2 Cd 0.824 0.324 0.649
Cd3 Cd 0.500 0.209 0.000
Cd4 Cd 0.176 0.676 0.351
Dy1 Dy 0.103 0.103 0.206
Dy2 Dy 0.897 0.897 0.794
Dy3 Dy 0.000 0.500 0.000
Ho1 Ho 0.318 0.080 0.635
Ho2 Ho 0.318 0.556 0.635
Ho3 Ho 0.682 0.444 0.365
Ho4 Ho 0.682 0.920 0.365
```

Values from the calculation:
* E_form: -0.092 eV per atom
* magnetization: 0.0 μB/cell
* energy: -3.344 eV/atom